A plane-wave DFT calculation with PBE with a Hubbard U was carried out for Li4Mn5O10 after structural relaxation.

abc: 5.156 5.104 7.930
angles: 104.81 72.88 100.06
Last column: magnetic moment on the atom in μB.
Sites, in units of the cell vectors:
Li (0.489, 0.904, 0.310)  0.00
Li (0.487, 0.312, 0.097)  0.00
Li (0.484, 0.489, 0.512)  0.00
Li (0.485, 0.081, 0.724)  0.00
Mn (0.981, 0.995, 0.011)  3.89
Mn (0.994, 0.596, 0.209)  3.88
Mn (0.979, 0.797, 0.612)  3.88
Mn (0.986, 0.197, 0.411)  3.24
Mn (0.991, 0.398, 0.810)  3.89
O (0.767, 0.663, 0.074)  -0.01
O (0.188, 0.965, 0.188)  -0.09
O (0.754, 0.872, 0.473)  -0.01
O (0.210, 0.318, 0.954)  -0.01
O (0.757, 0.266, 0.275)  0.00
O (0.219, 0.521, 0.348)  -0.01
O (0.785, 0.428, 0.633)  -0.09
O (0.206, 0.730, 0.747)  -0.01
O (0.216, 0.127, 0.546)  0.00
O (0.762, 0.075, 0.867)  -0.01

Total DFT energy (no corrections), Ry/atom: -0.4931
Polymorph energy (0 for the lowest one), meV per atom: 0.0